Material: Nd12DyY2
Method: DFT, PBE
State: relaxed

Unit cell a=6.870 b=6.870 c=25.032 alpha=90.00 beta=90.00 gamma=63.61
Atoms (fractional coordinates):
1 Y 0.000 0.500 0.267
2 Y 0.500 0.000 0.271
3 Y 0.500 0.000 0.733
4 Y 0.000 0.500 0.729
5 Nd 0.752 0.748 0.870
6 Nd 0.500 0.500 0.325
7 Nd 0.226 0.726 0.560
8 Nd 0.774 0.274 0.560
9 Nd 0.252 0.752 0.926
10 Nd 0.252 0.248 0.130
11 Nd 0.274 0.774 0.440
12 Nd 0.500 0.500 0.802
13 Nd 0.000 0.000 0.325
14 Nd 0.231 0.269 0.415
15 Nd 0.500 0.500 0.198
16 Nd 0.731 0.769 0.585
17 Nd 0.500 0.500 0.675
18 Nd 0.000 0.000 0.675
19 Nd 0.752 0.252 0.074
20 Nd 0.248 0.748 0.074
21 Nd 0.248 0.252 0.870
22 Nd 0.748 0.248 0.926
23 Nd 0.000 0.000 0.802
24 Nd 0.748 0.752 0.130
25 Nd 0.726 0.226 0.440
26 Nd 0.769 0.731 0.415
27 Nd 0.269 0.231 0.585
28 Nd 0.000 0.000 0.198
29 Dy 0.000 0.500 0.999
30 Dy 0.500 0.000 0.001

## Properties
For the size of the total moment, the calculation gives 0.000 μB/atom. For the total energy, the calculation gives -72.49 eV per formula unit. The density of states at the Fermi level comes out at 1.494 states/eV/atom. The formation energy is 150 meV/atom.

=====

Material: YZnPb3
Method: DFT, PBE
State: relaxed

Unit cell a=5.370 b=5.370 c=5.370 alpha=90.00 beta=90.00 gamma=90.00
Atoms (fractional coordinates):
1 Zn 0.000 0.000 0.000
2 Pb 0.000 0.500 0.000
3 Pb 0.000 0.000 0.500
4 Pb 0.500 0.000 0.000
5 Y 0.500 0.500 0.500

## Properties
For the size of the total moment, the calculation gives 0.000 μB/atom. For the total energy, the calculation gives -17.88 eV per formula unit. The density of states at the Fermi level comes out at 0.519 states/eV/atom. The formation energy is 196 meV/atom.

=====

Material: Mn4C
Method: DFT, PBE
State: relaxed

Unit cell a=4.175 b=4.175 c=4.175 alpha=109.47 beta=109.47 gamma=109.47
Atoms (fractional coordinates):
1 C 0.000 0.000 0.000
2 Mn 0.500 0.500 0.500
3 Mn 0.000 0.000 0.500
4 Mn 0.500 0.000 0.000
5 Mn 0.000 0.500 0.000

## Properties
For the size of the total moment, the calculation gives 1.406 μB/atom. For the total energy, the calculation gives -43.08 eV per formula unit. The density of states at the Fermi level comes out at 1.185 states/eV/atom. The formation energy is 563 meV/atom.

=====

Material: Sm5Ag4Pd
Method: DFT, PBE
State: relaxed

Unit cell a=3.666 b=3.666 c=18.662 alpha=90.00 beta=90.00 gamma=90.00
Atoms (fractional coordinates):
1 Sm 0.500 0.500 0.500
2 Sm 0.500 0.500 0.093
3 Sm 0.500 0.500 0.907
4 Sm 0.500 0.500 0.297
5 Sm 0.500 0.500 0.703
6 Ag 0.000 0.000 0.398
7 Ag 0.000 0.000 0.602
8 Ag 0.000 0.000 0.196
9 Ag 0.000 0.000 0.804
10 Pd 0.000 0.000 0.000

## Properties
For the size of the total moment, the calculation gives 0.000 μB/atom. For the total energy, the calculation gives -43.97 eV per formula unit. The density of states at the Fermi level comes out at 0.854 states/eV/atom. The formation energy is -378 meV/atom.

=====

Material: GdDyRu
Method: DFT, PBE
State: relaxed

Unit cell a=4.795 b=4.795 c=4.795 alpha=60.00 beta=60.00 gamma=60.00
Atoms (fractional coordinates):
1 Ru 0.250 0.250 0.250
2 Gd 0.000 0.000 0.000
3 Dy 0.500 0.500 0.500

## Properties
For the size of the total moment, the calculation gives 2.370 μB/atom. For the total energy, the calculation gives -28.75 eV per formula unit. The density of states at the Fermi level comes out at 0.569 states/eV/atom. The formation energy is -265 meV/atom.

=====

Material: AgPdRu2W
Method: DFT, PBE
State: relaxed

Unit cell a=4.674 b=4.613 c=4.674 alpha=90.00 beta=90.00 gamma=90.00
Atoms (fractional coordinates):
1 Ru 0.500 0.000 0.000
2 Ru 0.000 0.000 0.500
3 Pd 0.000 0.500 0.000
4 Ag 0.000 0.000 0.000
5 W 0.500 0.500 0.500

## Properties
For the size of the total moment, the calculation gives 0.000 μB/atom. For the total energy, the calculation gives -27.06 eV per formula unit. The density of states at the Fermi level comes out at 1.282 states/eV/atom. The formation energy is 2497 meV/atom.